## Sm4Te3S2 (PBE)

Data for a geometry-optimized Sm4Te3S2 structure.

a b c (Å): 7.452 7.452 9.255
angles (deg): 99.41 99.41 31.45
Fractional coordinates of all 9 atoms:
Sm (0.075, 0.075, 0.181)
Sm (0.335, 0.335, 0.392)
Sm (0.665, 0.665, 0.608)
Sm (0.925, 0.925, 0.819)
Te (0.000, 0.000, 0.500)
Te (0.397, 0.397, 0.086)
Te (0.603, 0.603, 0.914)
S (0.298, 0.298, 0.685)
S (0.702, 0.702, 0.315)

Computed properties:
The calculation puts the formation energy without anion corrections at -1.65 eV/atom. As for the size of the total moment: 0.000 μB/f.u.